Material: CsMnV3
Method: DFT, PBE
State: optimized geometry

Geometry as CIF:
```
data_CsMnV3
_chemical_formula_sum 'Cs1 Mn1 V3'
_cell_length_a 4.817
_cell_length_b 4.817
_cell_length_c 4.817
_cell_angle_alpha 90.00
_cell_angle_beta 90.00
_cell_angle_gamma 90.00
_space_group_name_H-M_alt 'P m -3 m'
_space_group_IT_number 221
_space_group_name_Hall '-P 4 2 3'
loop_
_atom_site_label
_atom_site_fract_x
_atom_site_fract_y
_atom_site_fract_z
_atom_site_occupancy
Cs1 0.000 0.000 0.000 1
Mn1 0.500 0.500 0.500 1
V1 0.000 0.500 0.500 1
```

Properties
Energy above the lowest structure with this stoichiometry: 0 meV/atom
VASP energy: -30.79 eV per cell
Crystal system: cubic
Theoretical density: 5.1 g cm⁻³
ΔE_f: 1.317 eV/atom

Material: RbCaOs2
Method: DFT, PBE
State: optimized geometry

Geometry as CIF:
```
data_RbCaOs2
_chemical_formula_sum 'Rb4 Ca4 Os8'
_cell_length_a 7.134
_cell_length_b 7.134
_cell_length_c 7.134
_cell_angle_alpha 90.00
_cell_angle_beta 90.00
_cell_angle_gamma 90.00
_space_group_name_H-M_alt 'F m -3 m'
_space_group_IT_number 225
_space_group_name_Hall '-F 4 2 3'
loop_
_atom_site_label
_atom_site_fract_x
_atom_site_fract_y
_atom_site_fract_z
_atom_site_occupancy
Rb1 0.000 0.000 0.000 1
Ca1 0.000 0.000 0.500 1
Os1 0.250 0.250 0.250 1
```

Properties
Energy above the lowest structure with this stoichiometry: 693 meV/atom
VASP energy: -69.07 eV per cell
Crystal system: cubic
Theoretical density: 9.3 g cm⁻³
ΔE_f: 2.040 eV/atom

Material: Mg2SbBr
Method: DFT, PBE
State: optimized geometry

Geometry as CIF:
```
data_Mg2SbBr
_chemical_formula_sum 'Mg4 Sb2 Br2'
_cell_length_a 4.075
_cell_length_b 4.075
_cell_length_c 13.086
_cell_angle_alpha 90.00
_cell_angle_beta 90.00
_cell_angle_gamma 90.00
_space_group_name_H-M_alt 'I -4 m 2'
_space_group_IT_number 119
_space_group_name_Hall 'I -4 -2'
loop_
_atom_site_label
_atom_site_fract_x
_atom_site_fract_y
_atom_site_fract_z
_atom_site_occupancy
Mg1 0.000 0.000 0.000 1
Mg2 0.000 0.500 0.250 1
Sb1 0.000 0.500 0.750 1
Br1 0.000 0.000 0.500 1
```

Properties
Energy above the lowest structure with this stoichiometry: 385 meV/atom
VASP energy: -19.97 eV per cell
Crystal system: tetragonal
Theoretical density: 3.8 g cm⁻³

Material: Ce3AlOs2
Method: DFT, PBE
State: optimized geometry

Geometry as CIF:
```
data_Ce3AlOs2
_chemical_formula_sum 'Ce12 Al4 Os8'
_cell_length_a 6.393
_cell_length_b 13.158
_cell_length_c 7.124
_cell_angle_alpha 90.00
_cell_angle_beta 90.00
_cell_angle_gamma 90.00
_space_group_name_H-M_alt 'I b a m'
_space_group_IT_number 72
_space_group_name_Hall '-I 2 2c'
loop_
_atom_site_label
_atom_site_fract_x
_atom_site_fract_y
_atom_site_fract_z
_atom_site_occupancy
Ce1 0.000 0.000 0.250 1
Ce2 0.000 0.286 0.250 1
Al1 0.000 0.500 0.000 1
Os1 0.220 0.134 0.000 1
```

Properties
Energy above the lowest structure with this stoichiometry: 111 meV/atom
VASP energy: -180.05 eV per cell
Crystal system: orthorhombic
Theoretical density: 9.2 g cm⁻³
ΔE_f: -0.168 eV/atom

Material: TiOs3Pb
Method: DFT, PBE
State: optimized geometry

Geometry as CIF:
```
data_TiOs3Pb
_chemical_formula_sum 'Ti1 Os3 Pb1'
_cell_length_a 4.862
_cell_length_b 4.862
_cell_length_c 4.862
_cell_angle_alpha 90.00
_cell_angle_beta 90.00
_cell_angle_gamma 90.00
_space_group_name_H-M_alt 'P m -3 m'
_space_group_IT_number 221
_space_group_name_Hall '-P 4 2 3'
loop_
_atom_site_label
_atom_site_fract_x
_atom_site_fract_y
_atom_site_fract_z
_atom_site_occupancy
Ti1 0.000 0.000 0.000 1
Os1 0.000 0.500 0.500 1
Pb1 0.500 0.500 0.500 1
```

Properties
Energy above the lowest structure with this stoichiometry: 1130 meV/atom
VASP energy: -31.21 eV per cell
Crystal system: cubic
Theoretical density: 11.9 g cm⁻³
ΔE_f: 2.816 eV/atom

Material: HfZrNbRe
Method: DFT, PBE
State: optimized geometry

Geometry as CIF:
```
data_HfZrNbRe
_chemical_formula_sum 'Hf4 Zr4 Nb4 Re4'
_cell_length_a 6.678
_cell_length_b 6.678
_cell_length_c 6.678
_cell_angle_alpha 90.00
_cell_angle_beta 90.00
_cell_angle_gamma 90.00
_space_group_name_H-M_alt 'F -4 3 m'
_space_group_IT_number 216
_space_group_name_Hall 'F -4 2 3'
loop_
_atom_site_label
_atom_site_fract_x
_atom_site_fract_y
_atom_site_fract_z
_atom_site_occupancy
Hf1 0.000 0.000 0.000 1
Zr1 0.250 0.250 0.750 1
Nb1 0.000 0.000 0.500 1
Re1 0.250 0.250 0.250 1
```

Properties
VASP energy: -165.06 eV per cell
Crystal system: cubic
Theoretical density: 12.2 g cm⁻³
ΔE_f: -0.061 eV/atom

theoretical density of number 1 (CsMnV3)? 5.1 g cm⁻³

The lowest theoretical density belongs to which entry? Mg2SbBr